DFT (PBE) results for an optimized crystal structure of OsS2ICl.

Calculated values
* formation energy (no corrections): 179 kJ per mole of atoms
* space group: P4/mmm, No. 123

a b c (Å): 5.1336 5.1336 5.3379
angles (deg): 90.00 90.00 90.00
Atoms (fractional coordinates):
Os1 0.0000 0.0000 0.0000
S1 0.0000 0.5000 0.5000
S2 0.5000 0.0000 0.5000
I1 0.5000 0.5000 0.5000
Cl1 0.5000 0.5000 0.0000

DFT (PBE) results for an optimized crystal structure of Nb6Ir10Ru.

Calculated values
* DFT formation energy: -0.2634 eV per atom
* space group: P-31m, No. 162

a b c (Å): 7.6406 7.6406 5.4912
angles (deg): 90.00 90.00 120.00
Atoms (fractional coordinates):
Nb1 0.0000 0.3522 0.2989
Nb2 0.0000 0.6478 0.7011
Nb3 0.3522 0.0000 0.2989
Nb4 0.3522 0.3522 0.7011
Nb5 0.6478 0.0000 0.7011
Nb6 0.6478 0.6478 0.2989
Ir1 0.0000 0.2985 0.8176
Ir2 0.0000 0.7015 0.1824
Ir3 0.2985 0.0000 0.8176
Ir4 0.2985 0.2985 0.1824
Ir5 0.3333 0.6667 0.0000
Ir6 0.3333 0.6667 0.5000
Ir7 0.6667 0.3333 0.0000
Ir8 0.6667 0.3333 0.5000
Ir9 0.7015 0.0000 0.1824
Ir10 0.7015 0.7015 0.8176
Ru1 0.0000 0.0000 0.5000

Number 1: uncorrected energy -2.72 eV/atom, N(E_F) 0.993 states/eV per atom. Number 2: uncorrected energy -9.58 eV/atom, N(E_F) 0.334 states/eV per atom.